LaLuGa | PBE | relaxed

It has space group F-43m (No. 216), with a = 7.135 Å, b = 7.135 Å, c = 7.135 Å, α = 90.00°, β = 90.00° and γ = 90.00°. The distinct sites, in fractional coordinates, are La at (0.000, 0.000, 0.000), Lu at (0.000, 0.000, 0.500) and Ga at (0.250, 0.250, 0.250).

Its size of the total moment is 0.26 μB/cell. Its energy above the most stable polymorph in this dataset is 0 meV per atom.